Below is Pm15Ho2Tl2 after structural relaxation, with properties calculated at the PBE level.

Cell lengths 11.1164, 11.1164, 17.7516 Å; angles 90.00, 90.00, 120.00 degrees
Space group R-3m (No. 166, hexagonal axes)
Symmetry-distinct sites (fractional):
Pm (0.0000, 0.2921, 0.0000)
Pm (0.0000, 0.5000, 0.5000)
Pm (0.0260, 0.5130, 0.1338)
Ho (0.0000, 0.0000, 0.3117)
Tl (0.0000, 0.0000, 0.0989)

Computed properties:
density of states at the Fermi level: 1.35 states/eV per atom
formation energy from the elements: 0.1712 eV/atom
M_tot: 0.000 μB per atom